Record 1
DFT (PBE-GGA) results for a relaxed structure of RbTaCrP2.

Lattice parameters (Å, degrees): 4.624 4.821 4.624 90.00 90.00 90.00
Each line ends with the local moment (μB).
Atoms (fractional coordinates):
P: 0.000 0.000 0.500  -0.03
Ta: 0.000 0.500 0.000  1.10
Rb: 0.500 0.500 0.500  0.05
Cr: 0.000 0.000 0.000  -0.22
P: 0.500 0.000 0.000  -0.01

Record 2
DFT (PBE-GGA) results for a relaxed structure of CrReP2.

Lattice parameters (Å, degrees): 4.343 4.343 4.311 74.74 74.74 40.28
Atoms (fractional coordinates):
P: 0.752 0.752 0.718
Cr: 0.260 0.260 0.164
P: 0.995 0.995 0.056
Re: 0.493 0.493 0.561

Properties
Distance to the lowest polymorph of the same formula: 0.0894 eV per atom

Record 3
DFT (PBE-GGA) results for a relaxed structure of CrRe2P.

Lattice parameters (Å, degrees): 4.848 4.848 4.848 136.37 136.37 63.41
Each line ends with the local moment (μB).
Atoms (fractional coordinates):
Re: 0.000 0.000 0.000  -0.09
Re: 0.250 0.750 0.500  -0.07
P: 0.750 0.250 0.500  -0.01
Cr: 0.500 0.500 0.000  0.94

Record 4
DFT (PBE-GGA) results for a relaxed structure of Cr2Re2P.

Lattice parameters (Å, degrees): 3.084 3.084 7.439 78.04 78.04 90.00
Atoms (fractional coordinates):
Cr: 0.250 0.750 0.500
Re: 0.402 0.402 0.195
Cr: 0.750 0.250 0.500
P: 0.000 0.000 0.000
Re: 0.598 0.598 0.805

Properties
Distance to the lowest polymorph of the same formula: 0.0000 eV per atom

Record 5
DFT (PBE-GGA) results for a relaxed structure of CrReP2.

Lattice parameters (Å, degrees): 4.111 4.111 4.111 60.00 60.00 60.00
Atoms (fractional coordinates):
Cr: 0.000 0.000 0.000
P: 0.250 0.250 0.250
Re: 0.500 0.500 0.500
P: 0.750 0.750 0.750

Properties
Distance to the lowest polymorph of the same formula: 0.1738 eV per atom

Record 6
DFT (PBE-GGA) results for a relaxed structure of CrReP2.

Lattice parameters (Å, degrees): 3.056 3.056 5.417 90.00 90.00 90.00
Atoms (fractional coordinates):
P: 0.000 0.000 0.972
P: 0.500 0.500 0.256
Re: 0.000 0.000 0.455
Cr: 0.500 0.500 0.817

Properties
Distance to the lowest polymorph of the same formula: 0.1027 eV per atom

Record 7
DFT (PBE-GGA) results for a relaxed structure of CrRe2P.

Lattice parameters (Å, degrees): 4.971 4.971 4.971 146.27 129.06 62.49
Atoms (fractional coordinates):
Re: 0.746 0.246 0.500
Cr: 0.472 0.472 0.000
P: 0.257 0.757 0.500
Re: 0.025 0.025 0.000

Record 8
DFT (PBE-GGA) results for a relaxed structure of CrReP.

Lattice parameters (Å, degrees): 3.921 3.921 3.921 60.00 60.00 60.00
Atoms (fractional coordinates):
Re: 0.500 0.500 0.500
P: 0.000 0.000 0.000
Cr: 0.750 0.750 0.750

Properties
Distance to the lowest polymorph of the same formula: 0.2277 eV per atom

Formation energy from the elements, respectively: 0.77, -0.27, 0.21, 0.31, -0.19, -0.26, -0.09, -0.04 eV per atom.